(1)
Here is a relaxed ZrSi4Rh6 crystal from the Alexandria database. Energies are from GGA-PBE.

Output
Raw formation energy ... -0.93 eV/atom
E_tot ... -0.282 Ha/atom

Unit cell a=3.7371 b=6.9946 c=6.9946 alpha=120.00 beta=90.00 gamma=90.00
Closest atoms and distances in Å follow each position.
Fractional coordinates of all 11 atoms:
Rh: 0.0000 0.5326 0.4674  5 Si 2.41-2.48
Rh: 0.5000 0.1947 0.3894  4 Si 2.38-2.51
Rh: 0.0000 0.5326 0.0652  5 Si 2.41-2.48
Rh: 0.5000 0.6106 0.8053  4 Si 2.38-2.51
Rh: 0.0000 0.9348 0.4674  5 Si 2.41-2.48
Rh: 0.5000 0.1947 0.8053  4 Si 2.38-2.51
Si: 0.5000 0.8017 0.6035  6 Rh 2.38-2.48
Si: 0.0000 0.3333 0.6667  9 Rh 2.41-2.51
Si: 0.5000 0.3965 0.1983  6 Rh 2.38-2.48
Si: 0.5000 0.8017 0.1983  6 Rh 2.38-2.48
Zr: 0.0000 0.0000 0.0000  6 Rh 3.01, 6 Si 3.04

(2)
Here is a relaxed Zr3Si2Rh5 crystal from the Alexandria database. Energies are from GGA-PBE.

Output
Raw formation energy ... -0.90 eV/atom
E_tot ... -0.302 Ha/atom

Unit cell a=3.6550 b=9.4220 c=9.4220 alpha=90.00 beta=90.00 gamma=90.00
Closest atoms and distances in Å follow each position.
Fractional coordinates of all 20 atoms:
Zr: 0.0000 0.6729 0.1729  3 Si 2.70-2.84, 2 Rh 2.94
Zr: 0.0000 0.3271 0.8271  3 Si 2.70-2.84, 2 Rh 2.94
Zr: 0.0000 0.0000 0.0000  8 Rh 2.79
Zr: 0.0000 0.1729 0.3271  3 Si 2.70-2.84, 2 Rh 2.94
Zr: 0.0000 0.5000 0.5000  8 Rh 2.79
Zr: 0.0000 0.8271 0.6729  3 Si 2.70-2.84, 2 Rh 2.94
Rh: 0.5000 0.2122 0.0692  2 Si 2.45
Rh: 0.5000 0.7878 0.9308  2 Si 2.45
Rh: 0.5000 0.4308 0.2878  2 Si 2.45
Rh: 0.5000 0.0000 0.5000  4 Si 2.47
Rh: 0.5000 0.5692 0.7122  2 Si 2.45
Rh: 0.5000 0.9308 0.2122  2 Si 2.45
Rh: 0.5000 0.7122 0.4308  2 Si 2.45
Rh: 0.5000 0.2878 0.5692  2 Si 2.45
Rh: 0.5000 0.5000 0.0000  4 Si 2.47
Rh: 0.5000 0.0692 0.7878  2 Si 2.45
Si: 0.0000 0.8757 0.3757  6 Rh 2.45-2.47, 1 Zr 2.70
Si: 0.0000 0.6243 0.8757  6 Rh 2.45-2.47, 1 Zr 2.70
Si: 0.0000 0.1243 0.6243  6 Rh 2.45-2.47, 1 Zr 2.70
Si: 0.0000 0.3757 0.1243  6 Rh 2.45-2.47, 1 Zr 2.70

(3)
Here is a relaxed Zr2SiRh crystal from the Alexandria database. Energies are from GGA-PBE.

Output
Raw formation energy ... -0.63 eV/atom
E_tot ... -0.298 Ha/atom

Unit cell a=4.8262 b=6.6090 c=3.1875 alpha=61.16 beta=90.00 gamma=121.70
Closest atoms and distances in Å follow each position.
Fractional coordinates of all 4 atoms:
Zr: 0.0000 0.0000 0.0000  4 Rh 2.89, 4 Si 2.89, 4 Zr 2.89-3.19
Zr: 0.0000 0.5000 0.5000  4 Si 2.89, 4 Rh 2.89, 4 Zr 2.89-3.19
Si: 0.5000 0.0000 0.5000  8 Zr 2.89, 2 Rh 2.89, 2 Si 3.19
Rh: 0.5000 0.5000 0.0000  8 Zr 2.89, 2 Si 2.89, 2 Rh 3.19

(4)
Here is a relaxed Zr2SiRh crystal from the Alexandria database. Energies are from GGA-PBE.

Output
Raw formation energy ... -0.70 eV/atom
E_tot ... -0.300 Ha/atom

Unit cell a=5.6649 b=5.6649 c=5.6649 alpha=143.00 beta=138.11 gamma=57.11
Closest atoms and distances in Å follow each position.
Fractional coordinates of all 4 atoms:
Zr: 0.0004 0.0004 0.0000  4 Rh 2.71, 2 Si 2.99
Zr: 0.7387 0.2387 0.5000  4 Si 2.74
Si: 0.2792 0.7792 0.5000  2 Rh 2.70, 6 Zr 2.74-2.99
Rh: 0.4818 0.4818 0.0000  2 Si 2.70, 4 Zr 2.71

(5)
Here is a relaxed ZrSiRh crystal from the Alexandria database. Energies are from GGA-PBE.

Output
Raw formation energy ... -0.91 eV/atom
E_tot ... -0.295 Ha/atom

Unit cell a=4.2669 b=4.2669 c=3.1311 alpha=90.00 beta=90.00 gamma=120.00
Closest atoms and distances in Å follow each position.
Fractional coordinates of all 3 atoms:
Zr: 0.3333 0.6667 0.6668  6 Rh 2.92, 6 Si 2.92, 2 Zr 3.13
Rh: 0.0000 0.0000 0.1664  3 Si 2.46
Si: 0.6667 0.3333 0.1668  3 Rh 2.46

(6)
Here is a relaxed Zr2SiRh crystal from the Alexandria database. Energies are from GGA-PBE.

Output
Raw formation energy ... -0.62 eV/atom
E_tot ... -0.297 Ha/atom

Unit cell a=4.9310 b=4.9310 c=4.2855 alpha=64.25 beta=64.25 gamma=51.26
Closest atoms and distances in Å follow each position.
Fractional coordinates of all 4 atoms:
Si: 0.2500 0.2500 0.2500  8 Zr 2.89, 4 Rh 3.02
Zr: 0.4997 0.4997 0.5003  4 Rh 2.89-2.90, 4 Si 2.89, 4 Zr 3.02
Zr: 0.0003 0.0003 0.9997  4 Rh 2.89-2.90, 4 Si 2.89, 4 Zr 3.02
Rh: 0.7500 0.7500 0.7500  8 Zr 2.89-2.90, 4 Si 3.02

(7)
Here is a relaxed Zr2Si2Rh crystal from the Alexandria database. Energies are from GGA-PBE.

Output
Raw formation energy ... -1.01 eV/atom
E_tot ... -0.296 Ha/atom

Unit cell a=3.7909 b=5.2985 c=5.2985 alpha=60.84 beta=69.04 gamma=69.04
Closest atoms and distances in Å follow each position.
Fractional coordinates of all 5 atoms:
Si: 0.5000 0.2751 0.7249  2 Rh 2.40, 1 Si 2.41
Si: 0.5000 0.7249 0.2751  2 Rh 2.40, 1 Si 2.41
Zr: 0.7937 0.7063 0.7063  6 Si 2.83-2.85, 2 Rh 3.09
Zr: 0.2063 0.2937 0.2937  6 Si 2.83-2.85, 2 Rh 3.09
Rh: 0.0000 0.0000 0.0000  4 Si 2.40

(8)
Here is a relaxed ZrSiRh crystal from the Alexandria database. Energies are from GGA-PBE.

Output
Raw formation energy ... -0.37 eV/atom
E_tot ... -0.275 Ha/atom

Unit cell a=3.0925 b=3.0925 c=6.1631 alpha=90.00 beta=90.00 gamma=120.00
Closest atoms and distances in Å follow each position.
Fractional coordinates of all 3 atoms:
Rh: 0.0000 0.0000 0.0358  3 Si 2.42
Si: 0.6667 0.3333 0.3018  3 Rh 2.42
Zr: 0.3333 0.6667 0.6625  3 Si 2.85, 3 Rh 2.91, 6 Zr 3.09

(9)
Here is a relaxed Zr2SiRh crystal from the Alexandria database. Energies are from GGA-PBE.

Output
Raw formation energy ... 0.03 eV/atom
E_tot ... -0.273 Ha/atom

Unit cell a=4.1076 b=4.1076 c=9.7673 alpha=77.86 beta=77.86 gamma=90.00
Closest atoms and distances in Å follow each position.
Fractional coordinates of all 8 atoms:
Zr: 0.6142 0.1250 0.2500  2 Si 2.73, 2 Rh 2.76, 4 Zr 2.84-2.97
Zr: 0.1358 0.6250 0.2500  2 Si 2.73, 2 Rh 2.76, 4 Zr 2.84-2.97
Zr: 0.3750 0.3858 0.7500  2 Si 2.73, 2 Rh 2.76, 4 Zr 2.84-2.97
Zr: 0.8750 0.8642 0.7500  2 Si 2.73, 2 Rh 2.76, 4 Zr 2.84-2.97
Si: 0.2500 0.7500 0.5000  4 Zr 2.73, 4 Rh 2.90
Si: 0.5000 0.5000 0.0000  4 Zr 2.73, 4 Rh 2.90
Rh: 0.7500 0.2500 0.5000  4 Zr 2.76, 4 Si 2.90
Rh: 0.0000 0.0000 0.0000  4 Zr 2.76, 4 Si 2.90

(10)
Here is a relaxed Sm3Rh crystal from the Alexandria database. Energies are from GGA-PBE.

Output
E_tot ... -0.211 Ha/atom
Calculated formation energy ... -8.41 kcal/mol of atoms

Unit cell a=3.7090 b=5.4964 c=6.3818 alpha=115.51 beta=106.89 gamma=90.00
Closest atoms and distances in Å follow each position.
Fractional coordinates of all 4 atoms:
Sm: 0.5000 0.4138 0.0000  4 Rh 3.27-3.36, 4 Sm 3.49-3.50
Sm: 0.3018 0.7161 0.6037  2 Rh 2.85
Sm: 0.6982 0.1124 0.3963  2 Rh 2.85
Rh: 0.0000 0.9244 0.0000  4 Sm 2.85

(11)
Here is a relaxed SmRh6 crystal from the Alexandria database. Energies are from GGA-PBE.

Output
E_tot ... -0.241 Ha/atom
Calculated formation energy ... 9.94 kcal/mol of atoms

Unit cell a=5.8373 b=5.8373 c=5.8373 alpha=109.47 beta=109.47 gamma=109.47
Closest atoms and distances in Å follow each position.
Fractional coordinates of all 7 atoms:
Sm: 0.0000 0.0000 0.0000  24 Rh 3.77
Rh: 0.2500 0.5000 0.7500  4 Rh 2.38
Rh: 0.7500 0.2500 0.5000  4 Rh 2.38
Rh: 0.2500 0.7500 0.5000  4 Rh 2.38
Rh: 0.5000 0.2500 0.7500  4 Rh 2.38
Rh: 0.7500 0.5000 0.2500  4 Rh 2.38
Rh: 0.5000 0.7500 0.2500  4 Rh 2.38

Q: Which value of E_tot does entry 5 give?
A: -0.295 Ha/atom